No. 1
A plane-wave DFT calculation with GGA-PBE was carried out for a relaxed KSi2F8 crystal.

The calculation puts the formation energy from raw total energies at -2.829 eV per atom. The magnetic moment comes out at 0.033 μB/atom. For the polymorph energy (0 for the lowest one), the calculation gives 16 meV/atom. The final energy is -116.06 eV per cell.

It has space group C2/m (No. 12), with a = 10.834 Å, b = 5.352 Å, c = 6.795 Å, α = 90.00°, β = 108.89° and γ = 90.00°. The inequivalent atoms are K at (0.000, 0.000, 0.000), Si at (0.211, 0.000, 0.668), F at (0.117, 0.000, 0.425), F at (0.131, 0.500, 0.216) and F at (0.161, 0.234, 0.773).

No. 2
A plane-wave DFT calculation with GGA-PBE was carried out for a relaxed KSiF3 crystal.

The calculation puts the formation energy from raw total energies at -2.207 eV per atom. The magnetic moment comes out at 0.000 μB/atom. The final energy is -23.17 eV per cell.

It has space group Pm-3m (No. 221), with a = 4.335 Å, b = 4.335 Å, c = 4.335 Å, α = 90.00°, β = 90.00° and γ = 90.00°. The inequivalent atoms are K at (0.000, 0.000, 0.000), Si at (0.500, 0.500, 0.500) and F at (0.000, 0.500, 0.500).

No. 3
A plane-wave DFT calculation with GGA-PBE was carried out for a relaxed K2SiF6 crystal.

The calculation puts the formation energy from raw total energies at -3.135 eV per atom. The magnetic moment comes out at 0.000 μB/atom. The final energy is -94.11 eV per cell.

It has space group P2_1/c (No. 14), with a = 5.817 Å, b = 7.391 Å, c = 7.515 Å, α = 90.00°, β = 119.57° and γ = 90.00°. The inequivalent atoms are K at (0.183, 0.064, 0.323), Si at (0.500, 0.000, 0.000), F at (0.227, 0.106, 0.986), F at (0.341, 0.705, 0.455) and F at (0.368, 0.031, 0.741).

- The highest final energy belongs to which entry?
  KSiF3

- What is the formula in the first record?
  KSi2F8

- Look up the magnetic moment of the first one.
  0.033 μB/atom

- The lowest final energy belongs to which entry?
  KSi2F8